VASP calculation (PBE) on crystalline Y2PuSe3 at its relaxed geometry.

Summary:
- energy (Ry per atom) = -0.5882
- volume (A^3/atom) = 24.4

Cell: 4.091 5.797 12.324 Å, 90.00 90.00 90.00°
Space group Immm (No. 71)
Asymmetric unit:
Y  0.000  0.000  0.167 [4 per cell]
Pu  0.000  0.000  0.500 [2 per cell]
Se  0.000  0.500  0.168 [4 per cell]
Se  0.000  0.500  0.500 [2 per cell]

***

VASP calculation (PBE) on crystalline PuSi at its relaxed geometry.

Summary:
- energy (Ry per atom) = -0.7246
- volume (A^3/atom) = 24.0

Cell: 5.766 5.766 5.766 Å, 90.00 90.00 90.00°
Space group Fm-3m (No. 225)
Asymmetric unit:
Pu  0.000  0.000  0.000 [4 per cell]
Si  0.000  0.000  0.500 [4 per cell]

***

VASP calculation (PBE) on crystalline PuSi at its relaxed geometry.

Summary:
- energy (Ry per atom) = -0.6703
- volume (A^3/atom) = 32.9

Cell: 6.409 6.409 6.409 Å, 90.00 90.00 90.00°
Space group F-43m (No. 216)
Asymmetric unit:
Pu  0.000  0.000  0.000 [4 per cell]
Si  0.250  0.250  0.750 [4 per cell]

***

VASP calculation (PBE) on crystalline PuSi at its relaxed geometry.

Summary:
- energy (Ry per atom) = -0.7240
- volume (A^3/atom) = 19.6

Cell: 3.0447 3.0447 4.8846 Å, 90.00 90.00 120.00°
Space group P-6m2 (No. 187)
Asymmetric unit:
Pu  0.0000  0.0000  0.0000 [1 per cell]
Si  0.6667  0.3333  0.5000 [1 per cell]

***

VASP calculation (PBE) on crystalline SrPuSi at its relaxed geometry.

Summary:
- energy (Ry per atom) = -0.5255
- volume (A^3/atom) = 31.4

Cell: 7.225 7.225 7.225 Å, 90.00 90.00 90.00°
Space group F-43m (No. 216)
Asymmetric unit:
Sr  0.000  0.000  0.000 [4 per cell]
Pu  0.000  0.000  0.500 [4 per cell]
Si  0.250  0.250  0.750 [4 per cell]

***

VASP calculation (PBE) on crystalline PuTaSi at its relaxed geometry.

Summary:
- energy (Ry per atom) = -0.7597
- volume (A^3/atom) = 21.2

Cell: 6.334 6.334 6.334 Å, 90.00 90.00 90.00°
Space group F-43m (No. 216)
Asymmetric unit:
Pu  0.000  0.000  0.000 [4 per cell]
Ta  0.000  0.000  0.500 [4 per cell]
Si  0.250  0.250  0.250 [4 per cell]

***

VASP calculation (PBE) on crystalline PuTaSi at its relaxed geometry.

Summary:
- energy (Ry per atom) = -0.6970
- volume (A^3/atom) = 21.0

Cell: 6.319 6.319 6.319 Å, 90.00 90.00 90.00°
Space group F-43m (No. 216)
Asymmetric unit:
Pu  0.000  0.000  0.000 [4 per cell]
Ta  0.250  0.250  0.250 [4 per cell]
Si  0.250  0.250  0.750 [4 per cell]

***

VASP calculation (PBE) on crystalline Pu2Si4Tc3 at its relaxed geometry.

Summary:
- energy (Ry per atom) = -0.7066
- volume (A^3/atom) = 16.7

Cell: 6.832 8.032 5.653 Å, 90.00 104.03 90.00°
Space group P2_1/c (No. 14)
Asymmetric unit:
Pu  0.247  0.058  0.071 [4 per cell]
Si  0.079  0.748  0.277 [4 per cell]
Si  0.373  0.096  0.614 [4 per cell]
Tc  0.000  0.000  0.500 [2 per cell]
Tc  0.386  0.707  0.113 [4 per cell]

***

VASP calculation (PBE) on crystalline PuSiTc at its relaxed geometry.

Summary:
- E above lowest polymorph (eV per atom) = 1.165
- energy (Ry per atom) = -0.6828
- volume (A^3/atom) = 20.6

Cell: 6.278 6.278 6.278 Å, 90.00 90.00 90.00°
Space group F-43m (No. 216)
Asymmetric unit:
Pu  0.000  0.000  0.000 [4 per cell]
Si  0.250  0.250  0.250 [4 per cell]
Tc  0.250  0.250  0.750 [4 per cell]

***

VASP calculation (PBE) on crystalline PuSiTc at its relaxed geometry.

Summary:
- E above lowest polymorph (eV per atom) = 0.617
- energy (Ry per atom) = -0.7231
- volume (A^3/atom) = 18.7

Cell: 6.077 6.077 6.077 Å, 90.00 90.00 90.00°
Space group F-43m (No. 216)
Asymmetric unit:
Pu  0.000  0.000  0.000 [4 per cell]
Si  0.250  0.250  0.250 [4 per cell]
Tc  0.000  0.000  0.500 [4 per cell]

***

VASP calculation (PBE) on crystalline Pu2Si2Tc at its relaxed geometry.

Summary:
- energy (Ry per atom) = -0.7656
- volume (A^3/atom) = 19.5

Cell: 10.274 4.278 9.989 Å, 90.00 117.28 90.00°
Space group C2/m (No. 12)
Asymmetric unit:
Pu  0.096  0.000  0.400 [4 per cell]
Pu  0.174  0.500  0.185 [4 per cell]
Si  0.076  0.000  0.931 [4 per cell]
Si  0.115  0.500  0.619 [4 per cell]
Tc  0.159  0.500  0.882 [4 per cell]

***

VASP calculation (PBE) on crystalline PuThSi at its relaxed geometry.

Summary:
- E above lowest polymorph (eV per atom) = 0.000
- energy (Ry per atom) = -0.6721
- volume (A^3/atom) = 25.1

Cell: 6.707 6.707 6.707 Å, 90.00 90.00 90.00°
Space group F-43m (No. 216)
Asymmetric unit:
Pu  0.000  0.000  0.000 [4 per cell]
Th  0.000  0.000  0.500 [4 per cell]
Si  0.250  0.250  0.250 [4 per cell]

***

VASP calculation (PBE) on crystalline TmPuSi at its relaxed geometry.

Summary:
- E above lowest polymorph (eV per atom) = 0.000
- energy (Ry per atom) = -0.6091
- volume (A^3/atom) = 25.7

Cell: 6.759 6.759 6.759 Å, 90.00 90.00 90.00°
Space group F-43m (No. 216)
Asymmetric unit:
Tm  0.000  0.000  0.000 [4 per cell]
Pu  0.000  0.000  0.500 [4 per cell]
Si  0.250  0.250  0.750 [4 per cell]

***

VASP calculation (PBE) on crystalline PuUSi at its relaxed geometry.

Summary:
- E above lowest polymorph (eV per atom) = 0.000
- energy (Ry per atom) = -0.7467
- volume (A^3/atom) = 25.1

Cell: 6.701 6.701 6.701 Å, 90.00 90.00 90.00°
Space group F-43m (No. 216)
Asymmetric unit:
Pu  0.000  0.000  0.000 [4 per cell]
U  0.000  0.000  0.500 [4 per cell]
Si  0.250  0.250  0.250 [4 per cell]

***

VASP calculation (PBE) on crystalline PuSiW at its relaxed geometry.

Summary:
- energy (Ry per atom) = -0.7135
- volume (A^3/atom) = 20.0

Cell: 6.219 6.219 6.219 Å, 90.00 90.00 90.00°
Space group F-43m (No. 216)
Asymmetric unit:
Pu  0.000  0.000  0.000 [4 per cell]
Si  0.250  0.250  0.750 [4 per cell]
W  0.250  0.250  0.250 [4 per cell]

***

VASP calculation (PBE) on crystalline PuSiW at its relaxed geometry.

Summary:
- energy (Ry per atom) = -0.7731
- volume (A^3/atom) = 20.2

Cell: 6.240 6.240 6.240 Å, 90.00 90.00 90.00°
Space group F-43m (No. 216)
Asymmetric unit:
Pu  0.000  0.000  0.000 [4 per cell]
Si  0.250  0.250  0.250 [4 per cell]
W  0.000  0.000  0.500 [4 per cell]

***

VASP calculation (PBE) on crystalline YPuSi at its relaxed geometry.

Summary:
- E above lowest polymorph (eV per atom) = 0.000
- energy (Ry per atom) = -0.6536
- volume (A^3/atom) = 24.3

Cell: 6.634 6.634 6.634 Å, 90.00 90.00 90.00°
Space group F-43m (No. 216)
Asymmetric unit:
Y  0.000  0.000  0.000 [4 per cell]
Pu  0.000  0.000  0.500 [4 per cell]
Si  0.250  0.250  0.750 [4 per cell]

***

VASP calculation (PBE) on crystalline PuZrSi at its relaxed geometry.

Summary:
- E above lowest polymorph (eV per atom) = 0.000
- energy (Ry per atom) = -0.7025
- volume (A^3/atom) = 23.7

Cell: 6.574 6.574 6.574 Å, 90.00 90.00 90.00°
Space group F-43m (No. 216)
Asymmetric unit:
Pu  0.000  0.000  0.000 [4 per cell]
Zr  0.000  0.000  0.500 [4 per cell]
Si  0.250  0.250  0.250 [4 per cell]

***

VASP calculation (PBE) on crystalline Sm2Pu at its relaxed geometry.

Summary:
- energy (Ry per atom) = -0.4227
- ΔH_f (0 K) (eV/atom) = 2.10
- volume (A^3/atom) = 82.6

Cell: 12.561 12.561 12.561 Å, 90.00 90.00 90.00°
Space group Fd-3m (No. 227, origin choice 2)
Asymmetric unit:
Sm  0.000  0.000  0.000 [16 per cell]
Pu  0.125  0.125  0.125 [8 per cell]

***

VASP calculation (PBE) on crystalline SmPu2 at its relaxed geometry.

Summary:
- energy (Ry per atom) = -0.6378
- ΔH_f (0 K) (eV/atom) = 2.31
- volume (A^3/atom) = 129.2

Cell: 14.583 14.583 14.583 Å, 90.00 90.00 90.00°
Space group Fd-3m (No. 227, origin choice 2)
Asymmetric unit:
Sm  0.125  0.125  0.125 [8 per cell]
Pu  0.000  0.000  0.000 [16 per cell]